(1)
{"formula": "LaCeN2", "functional": "GGA-PBE", "state": "optimized geometry", "final_energy_ev_per_cell": -32.08, "e_form_raw_mev_per_atom": -1142.3, "cell": [[3.577, 0.000, 0.000], [-1.789, 3.098, 0.000], [0.000, 0.000, 6.218]], "species": ["La", "Ce", "N", "N"], "frac_coords": [[0.000, 0.000, 0.000], [0.000, 0.000, 0.500], [0.333, 0.667, 0.729], [0.667, 0.333, 0.271]]}

---

(2)
{"formula": "Al4Ru", "functional": "GGA-PBE", "state": "optimized geometry", "final_energy_ev_per_cell": -23.71, "formation_enthalpy_0k_ev_per_atom": 0.108, "cell": [[4.729, 0.000, 0.000], [0.000, 4.729, 0.000], [0.000, 0.000, 4.729]], "species": ["Al", "Al", "Al", "Al", "Ru"], "frac_coords": [[0.000, 0.000, 0.000], [0.000, 0.500, 0.500], [0.500, 0.000, 0.500], [0.500, 0.500, 0.000], [0.500, 0.500, 0.500]]}

---

(3)
{"formula": "LiInTe", "functional": "GGA-PBE", "state": "optimized geometry", "final_energy_ev_per_cell": -33.22, "e_form_raw_mev_per_atom": -170.0, "cell": [[7.313, 0.000, 0.000], [0.000, 7.313, 0.000], [0.000, 0.000, 7.313]], "species": ["Li", "Li", "Li", "Li", "In", "In", "In", "In", "Te", "Te", "Te", "Te"], "frac_coords": [[0.000, 0.000, 0.000], [0.000, 0.500, 0.500], [0.500, 0.000, 0.500], [0.500, 0.500, 0.000], [0.250, 0.250, 0.750], [0.250, 0.750, 0.250], [0.750, 0.250, 0.250], [0.750, 0.750, 0.750], [0.000, 0.000, 0.500], [0.000, 0.500, 0.000], [0.500, 0.000, 0.000], [0.500, 0.500, 0.500]]}

---

(4)
{"formula": "CdBiTeI2", "functional": "GGA-PBE", "state": "optimized geometry", "final_energy_ev_per_cell": -9.94, "e_form_raw_mev_per_atom": 219.6, "cell": [[5.663, 0.000, 0.000], [0.000, 5.663, 0.000], [0.000, 0.000, 5.866]], "species": ["Cd", "Bi", "Te", "I", "I"], "frac_coords": [[0.000, 0.000, 0.000], [0.500, 0.500, 0.500], [0.000, 0.000, 0.500], [0.000, 0.500, 0.000], [0.500, 0.000, 0.000]]}

---

(5)
{"formula": "BaSrSnI6", "functional": "GGA-PBE", "state": "optimized geometry", "final_energy_ev_per_cell": -57.08, "e_form_raw_mev_per_atom": -1292.4, "cell": [[7.809, 0.000, 0.000], [0.000, 7.809, 0.000], [0.000, 0.000, 15.066]], "species": ["Ba", "Ba", "Sr", "Sr", "Sn", "Sn", "I", "I", "I", "I", "I", "I", "I", "I", "I", "I", "I", "I"], "frac_coords": [[0.000, 0.000, 0.000], [0.500, 0.500, 0.500], [0.000, 0.000, 0.333], [0.500, 0.500, 0.833], [0.000, 0.000, 0.667], [0.500, 0.500, 0.167], [0.187, 0.187, 0.504], [0.199, 0.199, 0.823], [0.207, 0.207, 0.174], [0.293, 0.707, 0.674], [0.301, 0.699, 0.323], [0.313, 0.687, 0.004], [0.687, 0.313, 0.004], [0.699, 0.301, 0.323], [0.707, 0.293, 0.674], [0.793, 0.793, 0.174], [0.801, 0.801, 0.823], [0.813, 0.813, 0.504]]}

---

(6)
{"formula": "Tb6Pr2Ho3", "functional": "GGA-PBE", "state": "optimized geometry", "final_energy_ev_per_cell": -49.12, "formation_enthalpy_0k_ev_per_atom": 0.177, "cell": [[3.065, -5.315, 0.000], [3.065, 5.315, 0.000], [-2.071, 0.000, 11.574]], "species": ["Tb", "Tb", "Tb", "Tb", "Tb", "Tb", "Pr", "Pr", "Ho", "Ho", "Ho"], "frac_coords": [[0.085, 0.418, 0.754], [0.249, 0.249, 0.246], [0.418, 0.085, 0.754], [0.582, 0.915, 0.246], [0.751, 0.751, 0.754], [0.915, 0.582, 0.246], [0.333, 0.667, 0.500], [0.667, 0.333, 0.500], [0.165, 0.835, 0.000], [0.500, 0.500, 0.000], [0.835, 0.165, 0.000]]}

---

(7)
{"formula": "La4Sm6Ho", "functional": "GGA-PBE", "state": "optimized geometry", "final_energy_ev_per_cell": -49.59, "formation_enthalpy_0k_ev_per_atom": 0.274, "cell": [[-3.449, 3.449, 8.340], [3.449, -3.449, 8.340], [3.449, 3.449, -8.340]], "species": ["La", "La", "La", "La", "Sm", "Sm", "Sm", "Sm", "Sm", "Sm", "Ho"], "frac_coords": [[0.132, 0.132, 0.621], [0.489, 0.868, 0.000], [0.511, 0.511, 0.379], [0.868, 0.489, 0.000], [0.000, 0.500, 0.500], [0.057, 0.716, 0.000], [0.284, 0.284, 0.341], [0.500, 0.000, 0.500], [0.716, 0.057, 0.000], [0.943, 0.943, 0.659], [0.500, 0.500, 0.000]]}

---

(8)
{"formula": "LiZr2P3O12", "functional": "GGA-PBE", "state": "optimized geometry", "final_energy_ev_per_cell": -573.69, "e_form_raw_mev_per_atom": -2704.7, "cell": [[8.956, 0.000, 0.000], [0.000, 9.079, 0.000], [-8.809, 0.000, 12.599]], "species": ["Li", "Li", "Li", "Li", "Zr", "Zr", "Zr", "Zr", "Zr", "Zr", "Zr", "Zr", "P", "P", "P", "P", "P", "P", "P", "P", "P", "P", "P", "P", "O", "O", "O", "O", "O", "O", "O", "O", "O", "O", "O", "O", "O", "O", "O", "O", "O", "O", "O", "O", "O", "O", "O", "O", "O", "O", "O", "O", "O", "O", "O", "O", "O", "O", "O", "O", "O", "O", "O", "O", "O", "O", "O", "O", "O", "O", "O", "O"], "frac_coords": [[0.032, 0.224, 0.321], [0.032, 0.276, 0.821], [0.968, 0.724, 0.179], [0.968, 0.776, 0.679], [0.145, 0.545, 0.390], [0.145, 0.955, 0.890], [0.370, 0.525, 0.121], [0.370, 0.975, 0.621], [0.630, 0.025, 0.379], [0.630, 0.475, 0.879], [0.855, 0.045, 0.110], [0.855, 0.455, 0.610], [0.029, 0.098, 0.645], [0.029, 0.402, 0.145], [0.244, 0.621, 0.646], [0.244, 0.879, 0.146], [0.453, 0.250, 0.489], [0.453, 0.250, 0.989], [0.547, 0.750, 0.011], [0.547, 0.750, 0.511], [0.756, 0.121, 0.854], [0.756, 0.379, 0.354], [0.971, 0.598, 0.855], [0.971, 0.902, 0.355], [0.002, 0.748, 0.322], [0.002, 0.752, 0.822], [0.055, 0.519, 0.227], [0.055, 0.981, 0.727], [0.081, 0.598, 0.655], [0.081, 0.902, 0.155], [0.139, 0.555, 0.964], [0.139, 0.945, 0.464], [0.183, 0.579, 0.533], [0.183, 0.921, 0.033], [0.201, 0.103, 0.646], [0.201, 0.397, 0.146], [0.269, 0.165, 0.920], [0.269, 0.335, 0.420], [0.295, 0.715, 0.167], [0.295, 0.785, 0.667], [0.390, 0.640, 0.444], [0.390, 0.860, 0.944], [0.404, 0.522, 0.726], [0.404, 0.978, 0.226], [0.440, 0.148, 0.564], [0.440, 0.352, 0.064], [0.482, 0.165, 0.414], [0.482, 0.335, 0.914], [0.518, 0.665, 0.086], [0.518, 0.835, 0.586], [0.560, 0.648, 0.936], [0.560, 0.852, 0.436], [0.596, 0.022, 0.774], [0.596, 0.478, 0.274], [0.610, 0.140, 0.056], [0.610, 0.360, 0.556], [0.705, 0.215, 0.333], [0.705, 0.285, 0.833], [0.731, 0.665, 0.580], [0.731, 0.835, 0.080], [0.799, 0.603, 0.854], [0.799, 0.897, 0.354], [0.817, 0.079, 0.967], [0.817, 0.421, 0.467], [0.861, 0.055, 0.536], [0.861, 0.445, 0.036], [0.919, 0.098, 0.845], [0.919, 0.402, 0.345], [0.945, 0.019, 0.273], [0.945, 0.481, 0.773], [0.998, 0.248, 0.178], [0.998, 0.252, 0.678]]}

---

> What is the formula in the sixth record?

Tb6Pr2Ho3